CaPm2Th, relaxed, DFT GGA-PBE; offset from the most stable computed form = 0.0810 eV/atom; calculated formation energy = 0.117 eV/atom; crystal system = trigonal
1.0
3.609 0.000 0.000
-1.804 3.125 0.000
0.000 0.000 37.961
Ca Pm Th
3 6 3
direct
0.000 0.000 0.000
0.333 0.667 0.667
0.667 0.333 0.333
0.000 0.000 0.092
0.000 0.000 0.908
0.333 0.667 0.575
0.333 0.667 0.759
0.667 0.333 0.241
0.667 0.333 0.425
0.000 0.000 0.500
0.333 0.667 0.167
0.667 0.333 0.833



Ca2Pm2Th, relaxed, DFT GGA-PBE; calculated formation energy = 0.045 eV/atom; crystal system = monoclinic
1.0
6.393 0.000 0.000
0.000 3.690 0.000
-0.021 0.000 15.444
Ca Pm Th
4 4 2
direct
0.166 0.000 0.393
0.334 0.500 0.607
0.666 0.500 0.393
0.834 0.000 0.607
0.166 0.000 0.817
0.334 0.500 0.183
0.666 0.500 0.817
0.834 0.000 0.183
0.000 0.500 0.000
0.500 0.000 0.000



CaPm2Th, relaxed, DFT GGA-PBE; offset from the most stable computed form = 0.1863 eV/atom; calculated formation energy = 0.223 eV/atom; crystal system = cubic
1.0
8.228 0.000 0.000
0.000 8.228 0.000
0.000 0.000 8.228
Ca Pm Th
4 8 4
direct
0.000 0.000 0.000
0.000 0.500 0.500
0.500 0.000 0.500
0.500 0.500 0.000
0.250 0.250 0.250
0.250 0.250 0.750
0.250 0.750 0.250
0.250 0.750 0.750
0.750 0.250 0.250
0.750 0.250 0.750
0.750 0.750 0.250
0.750 0.750 0.750
0.000 0.000 0.500
0.000 0.500 0.000
0.500 0.000 0.000
0.500 0.500 0.500



CaPm2Th, relaxed, DFT GGA-PBE; offset from the most stable computed form = 0.1150 eV/atom; calculated formation energy = 0.151 eV/atom; crystal system = tetragonal
1.0
5.206 0.000 0.000
0.000 5.206 0.000
0.000 0.000 5.084
Ca Pm Th
1 2 1
direct
0.000 0.000 0.000
0.000 0.500 0.500
0.500 0.000 0.500
0.500 0.500 0.000



CaPmYTh, relaxed, DFT GGA-PBE; calculated formation energy = 0.221 eV/atom; crystal system = cubic
1.0
8.190 0.000 0.000
0.000 8.190 0.000
0.000 0.000 8.190
Ca Pm Y Th
4 4 4 4
direct
0.000 0.000 0.000
0.000 0.500 0.500
0.500 0.000 0.500
0.500 0.500 0.000
0.250 0.250 0.250
0.250 0.750 0.750
0.750 0.250 0.750
0.750 0.750 0.250
0.250 0.250 0.750
0.250 0.750 0.250
0.750 0.250 0.250
0.750 0.750 0.750
0.000 0.000 0.500
0.000 0.500 0.000
0.500 0.000 0.000
0.500 0.500 0.500



CaPm5Tl8, relaxed, DFT GGA-PBE; calculated formation energy = -0.297 eV/atom; crystal system = tetragonal
1.0
-4.748 4.748 4.700
4.748 -4.748 4.700
4.748 4.748 -4.700
Ca Pm Tl
1 5 8
direct
0.000 0.000 0.000
0.259 0.616 0.112
0.384 0.496 0.643
0.504 0.147 0.888
0.750 0.250 0.500
0.853 0.741 0.357
0.108 0.190 0.733
0.123 0.714 0.738
0.286 0.024 0.409
0.457 0.375 0.267
0.616 0.877 0.591
0.625 0.892 0.081
0.810 0.543 0.919
0.976 0.384 0.262